1.
Entry from Alexandria: a relaxed La2HoN2Cl2 crystal (PBE).

## Properties
- raw total energy (eV per atom) = -6.59

Unit cell a=4.504 b=4.504 c=15.369 alpha=90.00 beta=90.00 gamma=90.00
Space group I4/mmm (No. 139)
Asymmetric unit:
La: 0.000 0.000 0.098 [4 per cell]
Ho: 0.000 0.000 0.500 [2 per cell]
N: 0.000 0.500 0.000 [4 per cell]
Cl: 0.000 0.000 0.318 [4 per cell]

2.
Entry from Alexandria: a relaxed BaBrCl crystal (PBE).

## Properties
- energy above the most stable polymorph in this dataset (eV per formula unit) = 0.657
- raw total energy (eV per atom) = -3.99

Unit cell a=4.202 b=4.202 c=10.720 alpha=90.00 beta=90.00 gamma=90.00
Space group I4mm (No. 107)
Asymmetric unit:
Ba: 0.000 0.000 0.000 [2 per cell]
Br: 0.000 0.000 0.327 [2 per cell]
Cl: 0.000 0.000 0.630 [2 per cell]

3.
Entry from Alexandria: a relaxed SiOsPt2 crystal (PBE).

## Properties
- raw total energy (eV per atom) = -7.21

Unit cell a=5.279 b=7.930 c=2.810 alpha=90.00 beta=90.00 gamma=90.00
Space group Cmmm (No. 65)
Asymmetric unit:
Si: 0.000 0.000 0.000 [2 per cell]
Os: 0.000 0.500 0.000 [2 per cell]
Pt: 0.250 0.250 0.500 [4 per cell]

4.
Entry from Alexandria: a relaxed KZrZn3 crystal (PBE).

## Properties
- energy above the most stable polymorph in this dataset (eV per formula unit) = 3.726
- raw total energy (eV per atom) = -1.41
- formation energy from the elements (meV per atom) = 1280

Unit cell a=5.028 b=5.028 c=5.028 alpha=90.00 beta=90.00 gamma=90.00
Space group Pm-3m (No. 221)
Asymmetric unit:
K: 0.000 0.000 0.000 [1 per cell]
Zr: 0.500 0.500 0.500 [1 per cell]
Zn: 0.000 0.000 0.500 [3 per cell]

5.
Entry from Alexandria: a relaxed SnMoPt2 crystal (PBE).

## Properties
- raw total energy (eV per atom) = -6.31
- formation energy from the elements (meV per atom) = 418

Unit cell a=5.964 b=5.964 c=11.359 alpha=90.00 beta=90.00 gamma=90.00
Space group I-42d (No. 122)
Asymmetric unit:
Sn: 0.000 0.000 0.000 [4 per cell]
Mo: 0.000 0.000 0.500 [4 per cell]
Pt: 0.223 0.250 0.625 [8 per cell]

6.
Entry from Alexandria: a relaxed La4CeSm3Te8 crystal (PBE).

## Properties
- raw total energy (eV per atom) = -5.55

Unit cell a=9.0393 b=9.0393 c=22.1511 alpha=90.00 beta=90.00 gamma=120.00
Space group R-3m (No. 166, hexagonal axes)
Asymmetric unit:
La: 0.0000 0.0000 0.0000 [3 per cell]
La: 0.0000 0.5000 0.0000 [9 per cell]
Ce: 0.0000 0.0000 0.5000 [3 per cell]
Sm: 0.0000 0.5000 0.5000 [9 per cell]
Te: 0.0000 0.0000 0.2470 [6 per cell]
Te: 0.0014 0.5007 0.7528 [18 per cell]